## ZnS (GGA-PBE)

Data for a relaxed structure of ZnS.

a = 3.8358 Å, b = 3.8358 Å, c = 188.0361 Å
α = 90.00°, β = 90.00°, γ = 120.00°
With the nearest neighbours (Å) after each atom.
Space group R3m (No. 160, hexagonal axes)
Asymmetric unit:
Zn (0.0000, 0.0000, 0.0000) [3 per cell]  4 S 2.35
Zn (0.0000, 0.0000, 0.0333) [3 per cell]  4 S 2.35
Zn (0.0000, 0.0000, 0.0833) [3 per cell]  4 S 2.35
Zn (0.0000, 0.0000, 0.1333) [3 per cell]  4 S 2.35
Zn (0.0000, 0.0000, 0.1833) [3 per cell]  4 S 2.35
Zn (0.0000, 0.0000, 0.2333) [3 per cell]  4 S 2.35
Zn (0.0000, 0.0000, 0.2833) [3 per cell]  4 S 2.35
Zn (0.0000, 0.0000, 0.3167) [3 per cell]  4 S 2.35
Zn (0.0000, 0.0000, 0.3833) [3 per cell]  4 S 2.35
Zn (0.0000, 0.0000, 0.4333) [3 per cell]  4 S 2.35
Zn (0.0000, 0.0000, 0.4833) [3 per cell]  4 S 2.35
Zn (0.0000, 0.0000, 0.5333) [3 per cell]  4 S 2.35
Zn (0.0000, 0.0000, 0.5833) [3 per cell]  4 S 2.35
Zn (0.0000, 0.0000, 0.6333) [3 per cell]  4 S 2.35
Zn (0.0000, 0.0000, 0.6833) [3 per cell]  4 S 2.35
Zn (0.0000, 0.0000, 0.7333) [3 per cell]  4 S 2.35
Zn (0.0000, 0.0000, 0.7833) [3 per cell]  4 S 2.35
Zn (0.0000, 0.0000, 0.8333) [3 per cell]  4 S 2.35
Zn (0.0000, 0.0000, 0.8833) [3 per cell]  4 S 2.35
Zn (0.0000, 0.0000, 0.9333) [3 per cell]  4 S 2.35
S (0.0000, 0.0000, 0.0125) [3 per cell]  4 Zn 2.35
S (0.0000, 0.0000, 0.0458) [3 per cell]  4 Zn 2.35
S (0.0000, 0.0000, 0.0958) [3 per cell]  4 Zn 2.35
S (0.0000, 0.0000, 0.1458) [3 per cell]  4 Zn 2.35
S (0.0000, 0.0000, 0.1958) [3 per cell]  4 Zn 2.35
S (0.0000, 0.0000, 0.2458) [3 per cell]  4 Zn 2.35
S (0.0000, 0.0000, 0.2958) [3 per cell]  4 Zn 2.35
S (0.0000, 0.0000, 0.3292) [3 per cell]  4 Zn 2.35
S (0.0000, 0.0000, 0.3958) [3 per cell]  4 Zn 2.35
S (0.0000, 0.0000, 0.4458) [3 per cell]  4 Zn 2.35
S (0.0000, 0.0000, 0.4958) [3 per cell]  4 Zn 2.35
S (0.0000, 0.0000, 0.5458) [3 per cell]  4 Zn 2.35
S (0.0000, 0.0000, 0.5958) [3 per cell]  4 Zn 2.35
S (0.0000, 0.0000, 0.6458) [3 per cell]  4 Zn 2.35
S (0.0000, 0.0000, 0.6958) [3 per cell]  4 Zn 2.35
S (0.0000, 0.0000, 0.7458) [3 per cell]  4 Zn 2.35
S (0.0000, 0.0000, 0.7958) [3 per cell]  4 Zn 2.35
S (0.0000, 0.0000, 0.8458) [3 per cell]  4 Zn 2.35
S (0.0000, 0.0000, 0.8958) [3 per cell]  4 Zn 2.35
S (0.0000, 0.0000, 0.9458) [3 per cell]  4 Zn 2.35


## Y2Co3Mo4N3 (GGA-PBE)

Data for a relaxed structure of Y2Co3Mo4N3.

a = 9.2387 Å, b = 5.3625 Å, c = 13.2683 Å
α = 90.00°, β = 103.32°, γ = 90.00°
With the nearest neighbours (Å) after each atom.
Space group C2/c (No. 15)
Asymmetric unit:
Y (0.0397, 0.0817, 0.3733) [8 per cell]  3 N 2.37-2.43
Co (0.0000, 0.4161, 0.7500) [4 per cell]  4 Mo 2.62-2.63, 4 Co 2.66-2.68
Co (0.2496, 0.1613, 0.7507) [8 per cell]  4 Mo 2.60-2.66, 4 Co 2.66-2.68
Mo (0.1111, 0.4198, 0.5852) [8 per cell]  3 N 2.10-2.13
Mo (0.2207, 0.4183, 0.9154) [8 per cell]  3 N 2.09-2.13
N (0.0804, 0.2392, 0.0002) [8 per cell]  4 Mo 2.10-2.13
N (0.2500, 0.2500, 0.5000) [4 per cell]  4 Mo 2.09-2.10


## TaPt2 (GGA-PBE)

Data for a relaxed structure of TaPt2.

a = 3.9880 Å, b = 12.0672 Å, c = 4.0152 Å
α = 90.00°, β = 90.00°, γ = 90.00°
With the nearest neighbours (Å) after each atom.
Space group Cmmm (No. 65)
Asymmetric unit:
Ta (0.0000, 0.1629, 0.0000) [4 per cell]  10 Pt 2.80-2.83, 2 Ta 2.90
Pt (0.0000, 0.0000, 0.5000) [2 per cell]  4 Ta 2.81, 8 Pt 2.83-2.88
Pt (0.0000, 0.3282, 0.5000) [4 per cell]  6 Pt 2.75-2.89, 6 Ta 2.83
Pt (0.0000, 0.5000, 0.0000) [2 per cell]  4 Ta 2.80, 8 Pt 2.83-2.89

Computed properties:
- formation energy (meV per atom) = -564


no.,energy (eV/atom)
1,-3.508
2,-8.920
3,-8.552